Compound: LuInBi
Source: Alexandria via LeMat-Bulk
Functional: GGA-PBE
Structure: optimized geometry

```
data_LuInBi
_cell_length_a 5.3975
_cell_length_b 5.3975
_cell_length_c 3.3664
_cell_angle_alpha 90.00
_cell_angle_beta 90.00
_cell_angle_gamma 120.00
_space_group_name_H-M_alt 'P 3 m 1'
_space_group_IT_number 156
loop_
_space_group_symop_operation_xyz
'x,y,z'
'-y,x-y,z'
'-x+y,-x,z'
'-y,-x,z'
'-x+y,y,z'
'x,x-y,z'
loop_
_atom_site_label
_atom_site_fract_x
_atom_site_fract_y
_atom_site_fract_z
Lu1 0.0000 0.0000 0.0000
In1 0.6667 0.3333 0.4352
Bi1 0.3333 0.6667 0.5465
```

Values from the calculation:
Offset from the most stable computed form   0.071 eV/atom
Size of the total moment   0.00 μB per formula unit
ΔE_f   -0.179 eV per atom

---

Compound: VNiAu2
Source: Alexandria via LeMat-Bulk
Functional: GGA-PBE
Structure: optimized geometry

```
data_VNiAu2
_cell_length_a 2.7577
_cell_length_b 2.7577
_cell_length_c 29.2052
_cell_angle_alpha 90.00
_cell_angle_beta 90.00
_cell_angle_gamma 120.00
_space_group_name_H-M_alt 'R -3 m'
_space_group_IT_number 166
_space_group_name_Hall '-R 3 2"'
loop_
_atom_site_label
_atom_site_fract_x
_atom_site_fract_y
_atom_site_fract_z
V1 0.0000 0.0000 0.0000
Ni1 0.0000 0.0000 0.5000
Au1 0.0000 0.0000 0.0905
```

Values from the calculation:
Offset from the most stable computed form   0.352 eV/atom
Size of the total moment   0.44 μB per formula unit
ΔE_f   0.421 eV per atom

---

Compound: Ir2PbF11
Source: Alexandria via LeMat-Bulk
Functional: GGA-PBE
Structure: optimized geometry

```
data_Ir2PbF11
_cell_length_a 9.184
_cell_length_b 9.191
_cell_length_c 10.809
_cell_angle_alpha 90.00
_cell_angle_beta 90.00
_cell_angle_gamma 90.00
_space_group_name_H-M_alt 'I b a m'
_space_group_IT_number 72
_space_group_name_Hall '-I 2 2c'
loop_
_atom_site_label
_atom_site_fract_x
_atom_site_fract_y
_atom_site_fract_z
Ir1 0.155 0.155 0.000
Pb1 0.000 0.500 0.250
F1 0.000 0.000 0.000
F2 0.052 0.263 0.127
F3 0.202 0.200 0.500
F4 0.236 0.447 0.373
```

Values from the calculation:
Formation energy from raw total energies   -23.23 eV/f.u.
Size of the total moment   3.02 μB per formula unit

---

Compound: TaCdMo
Source: Alexandria via LeMat-Bulk
Functional: GGA-PBE
Structure: optimized geometry

```
data_TaCdMo
_cell_length_a 4.7570
_cell_length_b 4.7570
_cell_length_c 2.7420
_cell_angle_alpha 90.00
_cell_angle_beta 90.00
_cell_angle_gamma 120.00
_space_group_name_H-M_alt 'P 3 m 1'
_space_group_IT_number 156
loop_
_space_group_symop_operation_xyz
'x,y,z'
'-y,x-y,z'
'-x+y,-x,z'
'-y,-x,z'
'-x+y,y,z'
'x,x-y,z'
loop_
_atom_site_label
_atom_site_fract_x
_atom_site_fract_y
_atom_site_fract_z
Ta1 0.0000 0.0000 0.0000
Cd1 0.6667 0.3333 0.3729
Mo1 0.3333 0.6667 0.7087
```

Values from the calculation:
Offset from the most stable computed form   0.084 eV/atom
Size of the total moment   0.00 μB per formula unit
ΔE_f   0.306 eV per atom

---

Compound: Nd2HoTmSe6
Source: Alexandria via LeMat-Bulk
Functional: GGA-PBE
Structure: optimized geometry

```
data_Nd2HoTmSe6
_cell_length_a 7.3221
_cell_length_b 7.3221
_cell_length_c 19.4553
_cell_angle_alpha 90.00
_cell_angle_beta 90.00
_cell_angle_gamma 120.00
_space_group_name_H-M_alt 'R 3'
_space_group_IT_number 146
_space_group_name_Hall 'R 3'
loop_
_atom_site_label
_atom_site_fract_x
_atom_site_fract_y
_atom_site_fract_z
Nd1 0.0000 0.0000 0.0000
Nd2 0.0000 0.0000 0.4995
Ho1 0.0000 0.0000 0.2008
Tm1 0.0000 0.0000 0.7002
Se1 0.0438 0.3525 0.7724
Se2 0.0449 0.6891 0.2728
```

Values from the calculation:
Formation energy from raw total energies   -18.40 eV/f.u.
Size of the total moment   0.00 μB per formula unit

---

Compound: AlRe2Si
Source: Alexandria via LeMat-Bulk
Functional: GGA-PBE
Structure: optimized geometry

```
data_AlRe2Si
_cell_length_a 3.071
_cell_length_b 4.098
_cell_length_c 8.989
_cell_angle_alpha 90.00
_cell_angle_beta 90.00
_cell_angle_gamma 90.00
_space_group_name_H-M_alt 'I m m 2'
_space_group_IT_number 44
loop_
_space_group_symop_operation_xyz
'x,y,z'
'-x,-y,z'
'-x,y,z'
'x,-y,z'
'x+1/2,y+1/2,z+1/2'
'-x+1/2,-y+1/2,z+1/2'
'-x+1/2,y+1/2,z+1/2'
'x+1/2,-y+1/2,z+1/2'
loop_
_atom_site_label
_atom_site_fract_x
_atom_site_fract_y
_atom_site_fract_z
Al1 0.000 0.000 0.000
Re1 0.000 0.000 0.501
Re2 0.000 0.500 0.247
Si1 0.000 0.500 0.776
```

Values from the calculation:
Formation energy from raw total energies   -0.41 eV/f.u.
Offset from the most stable computed form   0.166 eV/atom
Size of the total moment   0.00 μB per formula unit

---

Compound: Zr3Al5
Source: Alexandria via LeMat-Bulk
Functional: GGA-PBE
Structure: optimized geometry

```
data_Zr3Al5
_cell_length_a 5.602
_cell_length_b 14.800
_cell_length_c 7.562
_cell_angle_alpha 90.00
_cell_angle_beta 104.49
_cell_angle_gamma 90.00
_space_group_name_H-M_alt 'C 1 2/m 1'
_space_group_IT_number 12
loop_
_space_group_symop_operation_xyz
'x,y,z'
'-x,-y,-z'
'-x,y,-z'
'x,-y,z'
'x+1/2,y+1/2,z'
'-x+1/2,-y+1/2,-z'
'-x+1/2,y+1/2,-z'
'x+1/2,-y+1/2,z'
loop_
_atom_site_label
_atom_site_fract_x
_atom_site_fract_y
_atom_site_fract_z
Zr1 0.000 0.166 0.000
Zr2 0.000 0.224 0.500
Zr3 0.178 0.000 0.682
Al1 0.088 0.334 0.180
Al2 0.204 0.500 0.933
Al3 0.216 0.407 0.635
```

Values from the calculation:
Size of the total moment   0.00 μB per formula unit
ΔE_f   -0.333 eV per atom

---

Compound: YCr2W
Source: Alexandria via LeMat-Bulk
Functional: GGA-PBE
Structure: optimized geometry

```
data_YCr2W
_cell_length_a 3.043
_cell_length_b 4.659
_cell_length_c 9.284
_cell_angle_alpha 90.00
_cell_angle_beta 90.00
_cell_angle_gamma 90.00
_space_group_name_H-M_alt 'I m m 2'
_space_group_IT_number 44
loop_
_space_group_symop_operation_xyz
'x,y,z'
'-x,-y,z'
'-x,y,z'
'x,-y,z'
'x+1/2,y+1/2,z+1/2'
'-x+1/2,-y+1/2,z+1/2'
'-x+1/2,y+1/2,z+1/2'
'x+1/2,-y+1/2,z+1/2'
loop_
_atom_site_label
_atom_site_fract_x
_atom_site_fract_y
_atom_site_fract_z
Y1 0.000 0.000 0.000
Cr1 0.000 0.000 0.525
Cr2 0.000 0.500 0.230
W1 0.000 0.500 0.775
```

Values from the calculation:
Offset from the most stable computed form   0.201 eV/atom
Size of the total moment   0.27 μB per formula unit
ΔE_f   0.578 eV per atom

---

Compound: Ba3Dy3HoSe8
Source: Alexandria via LeMat-Bulk
Functional: GGA-PBE
Structure: optimized geometry

```
data_Ba3Dy3HoSe8
_cell_length_a 8.4190
_cell_length_b 8.4190
_cell_length_c 22.5969
_cell_angle_alpha 90.00
_cell_angle_beta 90.00
_cell_angle_gamma 120.00
_space_group_name_H-M_alt 'R -3 m'
_space_group_IT_number 166
_space_group_name_Hall '-R 3 2"'
loop_
_atom_site_label
_atom_site_fract_x
_atom_site_fract_y
_atom_site_fract_z
Ba1 0.0000 0.5000 0.0000
Dy1 0.0000 0.5000 0.5000
Ho1 0.0000 0.0000 0.5000
Se1 0.0000 0.0000 0.2376
Se2 0.0008 0.5004 0.7633
```

Values from the calculation:
Formation energy from raw total energies   -28.86 eV/f.u.
Size of the total moment   0.00 μB per formula unit

---

Compound: K2TcPt
Source: Alexandria via LeMat-Bulk
Functional: GGA-PBE
Structure: optimized geometry

```
data_K2TcPt
_cell_length_a 2.825
_cell_length_b 5.688
_cell_length_c 5.152
_cell_angle_alpha 90.00
_cell_angle_beta 92.69
_cell_angle_gamma 90.00
_space_group_name_H-M_alt 'P 1 2/m 1'
_space_group_IT_number 10
loop_
_space_group_symop_operation_xyz
'x,y,z'
'-x,-y,-z'
'-x,y,-z'
'x,-y,z'
loop_
_atom_site_label
_atom_site_fract_x
_atom_site_fract_y
_atom_site_fract_z
K1 0.237 0.000 0.255
Tc1 0.500 0.500 0.000
Pt1 0.000 0.500 0.500
```

Values from the calculation:
Offset from the most stable computed form   0.439 eV/atom
Size of the total moment   0.91 μB per formula unit
ΔE_f   0.865 eV per atom

---

Compound: SmY2HoEr
Source: Alexandria via LeMat-Bulk
Functional: GGA-PBE
Structure: optimized geometry

```
data_SmY2HoEr
_cell_length_a 8.392
_cell_length_b 11.420
_cell_length_c 7.220
_cell_angle_alpha 90.00
_cell_angle_beta 90.00
_cell_angle_gamma 90.00
_space_group_name_H-M_alt 'C m c m'
_space_group_IT_number 63
_space_group_name_Hall '-C 2c 2'
loop_
_atom_site_label
_atom_site_fract_x
_atom_site_fract_y
_atom_site_fract_z
Sm1 0.000 0.228 0.250
Y1 0.191 0.000 0.000
Ho1 0.000 0.498 0.250
Er1 0.000 0.225 0.750
```

Values from the calculation:
Size of the total moment   0.00 μB per formula unit
ΔE_f   0.398 eV per atom

---

Compound: LiEu2Sb
Source: Alexandria via LeMat-Bulk
Functional: GGA-PBE
Structure: optimized geometry

```
data_LiEu2Sb
_cell_length_a 7.759
_cell_length_b 7.759
_cell_length_c 7.759
_cell_angle_alpha 90.00
_cell_angle_beta 90.00
_cell_angle_gamma 90.00
_space_group_name_H-M_alt 'F m -3 m'
_space_group_IT_number 225
_space_group_name_Hall '-F 4 2 3'
loop_
_atom_site_label
_atom_site_fract_x
_atom_site_fract_y
_atom_site_fract_z
Li1 0.000 0.000 0.000
Eu1 0.250 0.250 0.250
Sb1 0.000 0.000 0.500
```

Values from the calculation:
Formation energy from raw total energies   -2.27 eV/f.u.
Offset from the most stable computed form   0.034 eV/atom
Size of the total moment   14.56 μB per formula unit

---

Compound: GeRh3F
Source: Alexandria via LeMat-Bulk
Functional: GGA-PBE
Structure: optimized geometry

```
data_GeRh3F
_cell_length_a 4.620
_cell_length_b 4.620
_cell_length_c 4.620
_cell_angle_alpha 90.00
_cell_angle_beta 90.00
_cell_angle_gamma 90.00
_space_group_name_H-M_alt 'P m -3 m'
_space_group_IT_number 221
_space_group_name_Hall '-P 4 2 3'
loop_
_atom_site_label
_atom_site_fract_x
_atom_site_fract_y
_atom_site_fract_z
Ge1 0.000 0.000 0.000
Rh1 0.000 0.000 0.500
F1 0.500 0.500 0.500
```

Values from the calculation:
Formation energy from raw total energies   3.69 eV/f.u.
Offset from the most stable computed form   0.162 eV/atom
Size of the total moment   2.76 μB per formula unit

---

Compound: IBr2Cl
Source: Alexandria via LeMat-Bulk
Functional: GGA-PBE
Structure: optimized geometry

```
data_IBr2Cl
_cell_length_a 5.440
_cell_length_b 5.451
_cell_length_c 7.564
_cell_angle_alpha 109.93
_cell_angle_beta 109.68
_cell_angle_gamma 93.06
_space_group_name_H-M_alt 'P 1'
_space_group_IT_number 1
loop_
_space_group_symop_operation_xyz
'x,y,z'
loop_
_atom_site_label
_atom_site_fract_x
_atom_site_fract_y
_atom_site_fract_z
I1 0.000 0.000 0.000
Br1 0.645 0.644 0.669
Br2 0.970 0.976 0.331
Cl1 0.335 0.332 0.001
```

Values from the calculation:
Formation energy from raw total energies   0.11 eV/f.u.
Offset from the most stable computed form   0.000 eV/atom
Size of the total moment   0.00 μB per formula unit

---

Compound: CaEuInNi
Source: Alexandria via LeMat-Bulk
Functional: GGA-PBE
Structure: optimized geometry

```
data_CaEuInNi
_cell_length_a 7.420
_cell_length_b 7.420
_cell_length_c 7.420
_cell_angle_alpha 90.00
_cell_angle_beta 90.00
_cell_angle_gamma 90.00
_space_group_name_H-M_alt 'F -4 3 m'
_space_group_IT_number 216
_space_group_name_Hall 'F -4 2 3'
loop_
_atom_site_label
_atom_site_fract_x
_atom_site_fract_y
_atom_site_fract_z
Ca1 0.000 0.000 0.000
Eu1 0.000 0.000 0.500
In1 0.250 0.250 0.250
Ni1 0.250 0.250 0.750
```

Values from the calculation:
Size of the total moment   6.98 μB per formula unit
ΔE_f   -0.125 eV per atom

---

Compound: Li3La2AlGe4
Source: Alexandria via LeMat-Bulk
Functional: GGA-PBE
Structure: optimized geometry

```
data_Li3La2AlGe4
_cell_length_a 4.270
_cell_length_b 4.270
_cell_length_c 10.762
_cell_angle_alpha 90.00
_cell_angle_beta 90.00
_cell_angle_gamma 90.00
_space_group_name_H-M_alt 'P -4 m 2'
_space_group_IT_number 115
loop_
_space_group_symop_operation_xyz
'x,y,z'
'y,-x,-z'
'-x,-y,z'
'-y,x,-z'
'-x,y,z'
'-y,-x,-z'
'x,-y,z'
'y,x,-z'
loop_
_atom_site_label
_atom_site_fract_x
_atom_site_fract_y
_atom_site_fract_z
Li1 0.000 0.000 0.000
Li2 0.000 0.500 0.626
La1 0.000 0.500 0.259
Al1 0.500 0.500 0.000
Ge1 0.000 0.000 0.500
Ge2 0.000 0.500 0.857
Ge3 0.500 0.500 0.500
```

Values from the calculation:
Size of the total moment   0.00 μB per formula unit
ΔE_f   -0.622 eV per atom

---

Compound: CrInSb2I
Source: Alexandria via LeMat-Bulk
Functional: GGA-PBE
Structure: optimized geometry

```
data_CrInSb2I
_cell_length_a 5.079
_cell_length_b 5.079
_cell_length_c 6.077
_cell_angle_alpha 90.00
_cell_angle_beta 90.00
_cell_angle_gamma 90.00
_space_group_name_H-M_alt 'P 4/m m m'
_space_group_IT_number 123
_space_group_name_Hall '-P 4 2'
loop_
_atom_site_label
_atom_site_fract_x
_atom_site_fract_y
_atom_site_fract_z
Cr1 0.000 0.000 0.000
In1 0.500 0.500 0.500
Sb1 0.000 0.500 0.000
I1 0.000 0.000 0.500
```

Values from the calculation:
Formation energy from raw total energies   1.28 eV/f.u.
Offset from the most stable computed form   0.000 eV/atom
Size of the total moment   1.72 μB per formula unit

---

Compound: NaPuInSb
Source: Alexandria via LeMat-Bulk
Functional: GGA-PBE
Structure: optimized geometry

```
data_NaPuInSb
_cell_length_a 7.570
_cell_length_b 7.570
_cell_length_c 7.570
_cell_angle_alpha 90.00
_cell_angle_beta 90.00
_cell_angle_gamma 90.00
_space_group_name_H-M_alt 'F -4 3 m'
_space_group_IT_number 216
_space_group_name_Hall 'F -4 2 3'
loop_
_atom_site_label
_atom_site_fract_x
_atom_site_fract_y
_atom_site_fract_z
Na1 0.000 0.000 0.000
Pu1 0.000 0.000 0.500
In1 0.250 0.250 0.250
Sb1 0.250 0.250 0.750
```

Values from the calculation:
Formation energy from raw total energies   -0.91 eV/f.u.
Size of the total moment   5.97 μB per formula unit